Record 1
! Ni4Sn2Bi (PBE, optimized geometry); values from VASP
! Energy relative to the elements: 671 meV/atom
! Total moment: 0.19 Bohr magnetons per cell
! Crystal system: tetragonal
&SYSTEM
  ibrav = 0, nat = 7, ntyp = 3
/
ATOMIC_SPECIES
Ni 58.69 Ni.upf
Sn 118.71 Sn.upf
Bi 208.98 Bi.upf
CELL_PARAMETERS angstrom
-2.385 2.385 6.551
2.385 -2.385 6.551
2.385 2.385 -6.551
ATOMIC_POSITIONS crystal
Ni 0.000 0.500 0.500
Ni 0.190 0.190 0.000
Ni 0.500 0.000 0.500
Ni 0.810 0.810 0.000
Sn 0.377 0.377 0.000
Sn 0.623 0.623 0.000
Bi 0.000 0.000 0.000


Record 2
! Ni3SnBi (PBE, optimized geometry); values from VASP
! Energy relative to the elements: 674 meV/atom
! Energy relative to the lowest polymorph listed for this composition: 0.000 eV per atom
! Total moment: 0.00 Bohr magnetons per cell
! Crystal system: cubic
&SYSTEM
  ibrav = 0, nat = 5, ntyp = 3
/
ATOMIC_SPECIES
Ni 58.69 Ni.upf
Sn 118.71 Sn.upf
Bi 208.98 Bi.upf
CELL_PARAMETERS angstrom
4.687 0.000 0.000
0.000 4.687 0.000
0.000 0.000 4.687
ATOMIC_POSITIONS crystal
Ni 0.000 0.000 0.500
Ni 0.000 0.500 0.000
Ni 0.500 0.000 0.000
Sn 0.000 0.000 0.000
Bi 0.500 0.500 0.500


Record 3
! NiSnBi3 (PBE, optimized geometry); values from VASP
! Energy relative to the elements: 1282 meV/atom
! Energy relative to the lowest polymorph listed for this composition: 1.260 eV per atom
! Total moment: 0.00 Bohr magnetons per cell
! Crystal system: cubic
&SYSTEM
  ibrav = 0, nat = 5, ntyp = 3
/
ATOMIC_SPECIES
Ni 58.69 Ni.upf
Sn 118.71 Sn.upf
Bi 208.98 Bi.upf
CELL_PARAMETERS angstrom
5.753 0.000 0.000
0.000 5.753 0.000
0.000 0.000 5.753
ATOMIC_POSITIONS crystal
Ni 0.000 0.000 0.000
Sn 0.500 0.500 0.500
Bi 0.000 0.500 0.500
Bi 0.500 0.000 0.500
Bi 0.500 0.500 0.000